(1)
VASP calculation (PBEsol) on K3Li2Nb5O15 after structural relaxation.

a = 4.115 Å, b = 12.631 Å, c = 12.631 Å
α = 90.00°, β = 90.00°, γ = 90.00°
Atoms (fractional coordinates):
O 0.962 0.359 0.432
O 0.933 0.503 0.846
O 0.962 0.932 0.859
O 0.962 0.568 0.359
O 0.459 0.000 0.500
O 0.461 0.919 0.216
O 0.461 0.581 0.716
O 0.461 0.081 0.784
O 0.461 0.716 0.419
O 0.933 0.846 0.497
O 0.933 0.003 0.654
O 0.459 0.500 0.000
O 0.933 0.154 0.503
O 0.946 0.211 0.711
O 0.962 0.859 0.068
O 0.946 0.711 0.789
O 0.962 0.141 0.932
O 0.461 0.284 0.581
O 0.962 0.641 0.568
O 0.933 0.654 0.997
O 0.946 0.789 0.289
O 0.461 0.216 0.081
O 0.933 0.346 0.003
O 0.933 0.497 0.154
O 0.962 0.068 0.141
O 0.461 0.419 0.284
O 0.946 0.289 0.211
O 0.933 0.997 0.346
O 0.962 0.432 0.641
O 0.461 0.784 0.919
K 0.507 0.172 0.328
K 0.507 0.672 0.172
K 0.507 0.328 0.828
K 0.494 0.000 0.000
K 0.494 0.500 0.500
K 0.507 0.828 0.672
Nb 0.009 0.424 0.293
Nb 0.009 0.924 0.207
Nb 0.009 0.207 0.076
Nb 0.009 0.076 0.793
Nb 0.009 0.576 0.707
Nb 0.005 0.500 0.000
Nb 0.009 0.707 0.424
Nb 0.005 0.000 0.500
Nb 0.009 0.293 0.576
Nb 0.009 0.793 0.924
Li 0.566 0.125 0.625
Li 0.566 0.875 0.375
Li 0.566 0.625 0.875
Li 0.566 0.375 0.125

Summary:
E	-403.119	eV for the cell shown
SG	P4bm (100)
raw formation energy	-61.38	eV per formula unit
energy above the lowest structure with this stoichiometry	0	meV per atom

(2)
VASP calculation (PBEsol) on Mn2TlCo after structural relaxation.

a = 3.744 Å, b = 3.918 Å, c = 3.918 Å
α = 90.00°, β = 90.00°, γ = 90.00°
Site moments in Bohr magnetons follow the coordinates.
Atoms (fractional coordinates):
Tl 0.500 0.500 0.500  -0.09
Mn 0.000 0.000 0.500  3.23
Mn 0.000 0.500 0.000  3.23
Co 0.500 0.000 0.000  1.50

Summary:
E	-27.995	eV for the cell shown
SG	P4/mmm (123)
ΔH_f (0 K)	0.47	eV/atom

(3)
VASP calculation (PBEsol) on Na7W8O24 after structural relaxation.

a = 7.736 Å, b = 8.658 Å, c = 8.664 Å
α = 113.57°, β = 90.00°, γ = 116.54°
Atoms (fractional coordinates):
W 0.564 0.627 0.751
W 0.311 0.125 0.751
W 0.813 0.125 0.751
W 0.062 0.627 0.751
W 0.689 0.875 0.249
W 0.938 0.373 0.249
W 0.187 0.875 0.249
W 0.436 0.373 0.249
O 0.312 0.625 0.750
O 0.249 0.000 0.500
O 0.316 0.126 0.252
O 0.379 0.252 0.000
O 0.811 0.622 0.748
O 0.438 0.875 0.250
O 0.063 0.625 0.250
O 0.621 0.748 0.000
O 0.000 0.500 0.500
O 0.126 0.748 0.000
O 0.937 0.375 0.750
O 0.874 0.252 0.000
O 0.688 0.375 0.250
O 0.438 0.375 0.750
O 0.684 0.874 0.748
O 0.562 0.125 0.750
O 0.937 0.874 0.252
O 0.190 0.874 0.748
O 0.562 0.625 0.250
O 0.500 0.500 0.500
O 0.810 0.126 0.252
O 0.063 0.126 0.748
O 0.751 0.000 0.500
O 0.189 0.378 0.252
Na 0.124 0.249 0.497
Na 0.500 0.000 0.000
Na 0.752 0.504 0.000
Na 0.248 0.496 0.000
Na 0.876 0.751 0.503
Na 0.625 0.250 0.501
Na 0.375 0.750 0.499

Summary:
E	-330.229	eV for the cell shown
SG	C2/m (12)
raw formation energy	-83.99	eV per formula unit

(4)
VASP calculation (PBEsol) on HfSn2F after structural relaxation.

a = 4.867 Å, b = 4.867 Å, c = 4.867 Å
α = 60.00°, β = 60.00°, γ = 60.00°
Atoms (fractional coordinates):
Hf 0.500 0.500 0.500
Sn 0.250 0.250 0.250
Sn 0.750 0.750 0.750
F 0.000 0.000 0.000

Summary:
E	-22.530	eV for the cell shown
SG	Fm-3m (225)
raw formation energy	-1.58	eV per formula unit

(5)
VASP calculation (PBEsol) on HoGa3Ru after structural relaxation.

a = 6.313 Å, b = 6.313 Å, c = 6.313 Å
α = 90.00°, β = 90.00°, γ = 90.00°
Atoms (fractional coordinates):
Ru 0.000 0.000 0.500
Ru 0.500 0.000 0.000
Ru 0.000 0.500 0.000
Ga 0.789 0.789 0.789
Ga 0.500 0.500 0.500
Ga 0.211 0.211 0.211
Ga 0.211 0.211 0.789
Ga 0.789 0.211 0.211
Ga 0.211 0.789 0.211
Ga 0.211 0.789 0.789
Ga 0.789 0.789 0.211
Ga 0.789 0.211 0.789
Ho 0.000 0.500 0.500
Ho 0.500 0.000 0.500
Ho 0.500 0.500 0.000

Summary:
E	-84.688	eV for the cell shown
SG	Pm-3m (221)
ΔH_f (0 K)	-0.62	eV/atom

(6)
VASP calculation (PBEsol) on KNiAs2 after structural relaxation.

a = 3.789 Å, b = 3.789 Å, c = 7.076 Å
α = 74.47°, β = 74.47°, γ = 60.00°
Atoms (fractional coordinates):
As 0.286 0.286 0.141
As 0.714 0.714 0.859
K 0.500 0.500 0.500
Ni 0.000 0.000 0.000

Summary:
E	-18.795	eV for the cell shown
SG	R-3m (166)
ΔH_f (0 K)	-0.32	eV/atom
energy above the lowest structure with this stoichiometry	0	meV per atom

(7)
VASP calculation (PBEsol) on Ca2ZnAg after structural relaxation.

a = 3.643 Å, b = 3.643 Å, c = 7.170 Å
α = 90.00°, β = 90.00°, γ = 90.00°
Atoms (fractional coordinates):
Zn 0.500 0.500 0.000
Ag 0.500 0.500 0.500
Ca 0.000 0.000 0.247
Ca 0.000 0.000 0.753

Summary:
E	-10.130	eV for the cell shown
SG	P4/mmm (123)
ΔH_f (0 K)	-0.24	eV/atom

(8)
VASP calculation (PBEsol) on SrBe2Re after structural relaxation.

a = 2.658 Å, b = 3.132 Å, c = 7.341 Å
α = 90.00°, β = 90.00°, γ = 90.00°
Atoms (fractional coordinates):
Re 0.000 0.000 0.416
Be 0.500 0.500 0.228
Be 0.000 0.000 0.094
Sr 0.500 0.500 0.762

Summary:
E	-20.722	eV for the cell shown
SG	Pmm2 (25)
ΔH_f (0 K)	0.61	eV/atom
energy above the lowest structure with this stoichiometry	153	meV per atom

(9)
VASP calculation (PBEsol) on CaMnP2O7 after structural relaxation.

a = 6.652 Å, b = 6.575 Å, c = 6.519 Å
α = 82.85°, β = 87.14°, γ = 66.12°
Site moments in Bohr magnetons follow the coordinates.
Atoms (fractional coordinates):
O 0.917 0.257 0.083  0.03
O 0.016 0.402 0.732  0.01
O 0.355 0.397 0.133  0.03
O 0.984 0.598 0.268  0.01
O 0.083 0.743 0.917  0.03
O 0.801 0.887 0.522  0.03
O 0.359 0.385 0.568  0.00
O 0.758 0.207 0.755  0.03
O 0.361 0.055 0.827  0.04
O 0.641 0.615 0.432  0.00
O 0.645 0.603 0.867  0.03
O 0.199 0.113 0.478  0.03
O 0.639 0.945 0.173  0.04
O 0.242 0.793 0.245  0.03
Ca 0.681 0.265 0.367  0.00
Ca 0.319 0.735 0.633  0.00
P 0.243 0.235 0.646  0.01
P 0.820 0.363 0.867  0.01
P 0.180 0.637 0.133  0.01
P 0.757 0.765 0.354  0.01
Mn 0.267 0.105 0.151  4.52
Mn 0.733 0.895 0.849  4.52

Summary:
E	-172.713	eV for the cell shown
SG	P-1 (2)
raw formation energy	-26.13	eV per formula unit
energy above the lowest structure with this stoichiometry	0	meV per atom

(10)
VASP calculation (PBEsol) on RbIn2Ag2 after structural relaxation.

a = 5.067 Å, b = 5.067 Å, c = 6.388 Å
α = 113.37°, β = 113.37°, γ = 90.00°
Atoms (fractional coordinates):
In 0.642 0.642 0.285
In 0.358 0.358 0.715
Ag 0.750 0.250 0.500
Ag 0.250 0.750 0.500
Rb 0.000 0.000 0.000

Summary:
E	-13.688	eV for the cell shown
SG	I4/mmm (139)
ΔH_f (0 K)	-0.01	eV/atom

(11)
VASP calculation (PBEsol) on BaWBr2 after structural relaxation.

a = 3.447 Å, b = 3.447 Å, c = 8.689 Å
α = 90.00°, β = 90.00°, γ = 90.00°
Atoms (fractional coordinates):
Br 0.500 0.500 0.325
Br 0.000 0.000 0.985
W 0.000 0.000 0.443
Ba 0.500 0.500 0.746

Summary:
E	-19.337	eV for the cell shown
SG	P4mm (99)
raw formation energy	0.36	eV per formula unit
energy above the lowest structure with this stoichiometry	0	meV per atom

(12)
VASP calculation (PBEsol) on YHg3H after structural relaxation.

a = 4.568 Å, b = 4.568 Å, c = 4.568 Å
α = 90.00°, β = 90.00°, γ = 90.00°
Atoms (fractional coordinates):
Hg 0.000 0.000 0.500
Hg 0.500 0.000 0.000
Hg 0.000 0.500 0.000
Y 0.500 0.500 0.500
H 0.000 0.000 0.000

Summary:
E	-11.865	eV for the cell shown
SG	Pm-3m (221)

(13)
VASP calculation (PBEsol) on LiNiP4O12 after structural relaxation.

a = 8.298 Å, b = 8.826 Å, c = 12.423 Å
α = 90.00°, β = 90.00°, γ = 90.00°
Site moments in Bohr magnetons follow the coordinates.
Atoms (fractional coordinates):
P 0.817 0.995 0.139  0.00
P 0.317 0.505 0.639  0.00
P 0.960 0.495 0.645  0.00
P 0.960 0.005 0.355  0.00
P 0.460 0.005 0.145  0.00
P 0.540 0.995 0.855  0.00
P 0.183 0.005 0.861  0.00
P 0.460 0.495 0.855  0.00
P 0.540 0.505 0.145  0.00
P 0.817 0.505 0.861  0.00
P 0.317 0.995 0.361  0.00
P 0.683 0.005 0.639  0.00
P 0.183 0.495 0.139  0.00
P 0.040 0.505 0.355  0.00
P 0.683 0.495 0.361  0.00
P 0.040 0.995 0.645  0.00
O 0.457 0.127 0.061  0.05
O 0.595 0.144 0.611  0.01
O 0.359 0.864 0.124  -0.01
O 0.095 0.356 0.111  0.01
O 0.141 0.364 0.376  -0.01
O 0.637 0.544 0.823  0.00
O 0.043 0.627 0.439  0.05
O 0.310 0.377 0.557  0.05
O 0.388 0.427 0.747  0.00
O 0.595 0.356 0.389  0.01
O 0.810 0.377 0.943  0.05
O 0.137 0.956 0.323  0.00
O 0.112 0.927 0.753  0.00
O 0.859 0.864 0.376  -0.01
O 0.043 0.873 0.561  0.05
O 0.405 0.856 0.389  0.01
O 0.543 0.627 0.061  0.05
O 0.810 0.123 0.057  0.05
O 0.888 0.073 0.247  0.00
O 0.612 0.927 0.747  0.00
O 0.363 0.456 0.177  0.00
O 0.905 0.644 0.889  0.01
O 0.888 0.427 0.753  0.00
O 0.310 0.123 0.443  0.05
O 0.405 0.644 0.611  0.01
O 0.612 0.573 0.253  0.00
O 0.137 0.544 0.677  0.00
O 0.095 0.144 0.889  0.01
O 0.543 0.873 0.939  0.05
O 0.388 0.073 0.253  0.00
O 0.457 0.373 0.939  0.05
O 0.190 0.877 0.943  0.05
O 0.112 0.573 0.247  0.00
O 0.863 0.044 0.677  0.00
O 0.905 0.856 0.111  0.01
O 0.690 0.623 0.443  0.05
O 0.957 0.373 0.561  0.05
O 0.141 0.136 0.624  -0.01
O 0.859 0.636 0.624  -0.01
O 0.637 0.956 0.177  0.00
O 0.690 0.877 0.557  0.05
O 0.641 0.136 0.876  -0.01
O 0.190 0.623 0.057  0.05
O 0.359 0.636 0.876  -0.01
O 0.957 0.127 0.439  0.05
O 0.641 0.364 0.124  -0.01
O 0.363 0.044 0.823  0.00
O 0.863 0.456 0.323  0.00
Li 0.011 0.750 0.000  0.00
Li 0.489 0.250 0.500  0.00
Li 0.511 0.750 0.500  0.00
Li 0.989 0.250 0.000  0.00
Ni 0.868 0.750 0.500  0.77
Ni 0.132 0.250 0.500  0.77
Ni 0.368 0.750 0.000  0.77
Ni 0.632 0.250 0.000  0.77

Summary:
E	-518.313	eV for the cell shown
SG	Pbcn (60)
raw formation energy	-35.30	eV per formula unit
energy above the lowest structure with this stoichiometry	0	meV per atom

(14)
VASP calculation (PBEsol) on Rb2NaYBr6 after structural relaxation.

a = 7.887 Å, b = 7.887 Å, c = 7.887 Å
α = 60.00°, β = 60.00°, γ = 60.00°
Atoms (fractional coordinates):
Br 0.246 0.754 0.754
Br 0.754 0.754 0.246
Br 0.754 0.246 0.754
Br 0.246 0.246 0.754
Br 0.754 0.246 0.246
Br 0.246 0.754 0.246
Y 0.000 0.000 0.000
Rb 0.750 0.750 0.750
Rb 0.250 0.250 0.250
Na 0.500 0.500 0.500

Summary:
E	-39.181	eV for the cell shown
SG	Fm-3m (225)
raw formation energy	-17.69	eV per formula unit

(15)
VASP calculation (PBEsol) on Mn2NiO6 after structural relaxation.

a = 4.886 Å, b = 4.891 Å, c = 9.475 Å
α = 90.00°, β = 90.00°, γ = 119.96°
Site moments in Bohr magnetons follow the coordinates.
Atoms (fractional coordinates):
O 0.830 0.330 0.400  0.03
O 0.330 0.000 0.900  0.03
O 0.670 0.670 0.900  0.03
O 0.670 0.000 0.100  0.03
O 0.330 0.330 0.100  0.03
O 0.000 0.330 0.900  0.03
O 0.500 0.330 0.600  0.03
O 0.000 0.670 0.100  0.03
O 0.830 0.000 0.600  0.03
O 0.500 0.670 0.400  0.03
O 0.170 0.670 0.600  0.03
O 0.170 0.000 0.400  0.03
Mn 0.833 0.667 0.500  2.75
Mn 0.333 0.667 0.000  2.75
Mn 0.167 0.333 0.500  2.75
Mn 0.667 0.333 0.000  2.75
Ni 0.000 0.000 0.000  0.17
Ni 0.500 0.000 0.500  0.17

Summary:
E	-137.357	eV for the cell shown
SG	Cmce (64)
raw formation energy	-11.50	eV per formula unit

(16)
VASP calculation (PBEsol) on SrMgTl2 after structural relaxation.

a = 4.297 Å, b = 5.127 Å, c = 5.127 Å
α = 90.00°, β = 90.00°, γ = 90.00°
Atoms (fractional coordinates):
Tl 0.000 0.500 0.000
Tl 0.000 0.000 0.500
Sr 0.500 0.000 0.000
Mg 0.500 0.500 0.500

Summary:
E	-9.864	eV for the cell shown
SG	P4/mmm (123)
ΔH_f (0 K)	-0.26	eV/atom
energy above the lowest structure with this stoichiometry	65	meV per atom

(17)
VASP calculation (PBEsol) on TcW2Br after structural relaxation.

a = 2.965 Å, b = 4.511 Å, c = 5.064 Å
α = 93.16°, β = 107.02°, γ = 90.00°
Atoms (fractional coordinates):
W 0.999 0.014 0.998
W 0.276 0.777 0.553
Br 0.502 0.490 0.004
Tc 0.723 0.219 0.445

Summary:
E	-37.363	eV for the cell shown
SG	Cm (8)
raw formation energy	3.39	eV per formula unit
energy above the lowest structure with this stoichiometry	0	meV per atom

(18)
VASP calculation (PBEsol) on Be3CrO after structural relaxation.

a = 4.216 Å, b = 4.216 Å, c = 4.216 Å
α = 90.00°, β = 90.00°, γ = 90.00°
Site moments in Bohr magnetons follow the coordinates.
Atoms (fractional coordinates):
O 0.500 0.500 0.500  0.66
Be 0.000 0.000 0.500  0.07
Be 0.500 0.000 0.000  0.07
Be 0.000 0.500 0.000  0.07
Cr 0.000 0.000 0.000  2.77

Summary:
E	-17.708	eV for the cell shown
SG	Pm-3m (221)
raw formation energy	9.78	eV per formula unit

| no. | spin magnetization (μB per atom) | density (g cm⁻³) |
| --- | --- | --- |
| 1 | 0.00 | 4.23 |
| 2 | 2.01 | 10.78 |
| 3 | 0.00 | 7.21 |
| 4 | 0.00 | 8.86 |
| 5 | 0.00 | 9.41 |
| 6 | 0.00 | 4.91 |
| 7 | 0.00 | 4.42 |
| 8 | 0.00 | 7.93 |
| 9 | 0.45 | 3.45 |
| 10 | 0.00 | 6.49 |
| 11 | 0.00 | 7.74 |
| 12 | 0.00 | 12.05 |
| 13 | 0.06 | 2.79 |
| 14 | 0.00 | 3.65 |
| 15 | 0.67 | 4.48 |
| 16 | 0.00 | 7.65 |
| 17 | 0.00 | 14.01 |
| 18 | 0.83 | 2.11 |